Entry 1:
Crystalline EuDy2Pa at its relaxed geometry, computed with PBE.

## Properties
energy above the most stable polymorph in this dataset: 0 meV per atom
total moment: 7.57 μB/cell
ΔH_f (0 K): 14.4 kJ per mole of atoms
ρ: 9.34 Mg/m³

Cell lengths 3.470, 3.470, 10.448 Å; angles 90.00, 90.00, 90.00 degrees
Space group P4/mmm (No. 123)
One atom of each set of equivalent atoms:
Eu 0.000 0.000 0.000 x1
Dy 0.500 0.500 0.281 x2
Pa 0.000 0.000 0.500 x1

Entry 2:
Crystalline FeAg2Se at its relaxed geometry, computed with PBE.

## Properties
electronic total energy: -4.038 eV/atom
total moment: 13.25 μB/cell
ρ: 8.31 Mg/m³

Cell lengths 6.545, 6.545, 6.545 Å; angles 90.00, 90.00, 90.00 degrees
Space group F-43m (No. 216)
One atom of each set of equivalent atoms:
Fe 0.000 0.000 0.000 x4
Ag 0.000 0.000 0.500 x4
Ag 0.250 0.250 0.750 x4
Se 0.250 0.250 0.250 x4

Entry 3:
Crystalline PmErPb4 at its relaxed geometry, computed with PBE.

## Properties
total moment: 0.00 μB/cell
ΔH_f (0 K): -17.3 kJ per mole of atoms
ρ: 10.36 Mg/m³

Cell lengths 9.759, 6.204, 6.100 Å; angles 90.00, 97.85, 90.00 degrees
Space group P2_1/c (No. 14)
One atom of each set of equivalent atoms:
Pm 0.000 0.000 0.000 x2
Er 0.500 0.000 0.500 x2
Pb 0.164 0.010 0.519 x4
Pb 0.342 0.512 0.494 x4

Entry 4:
Crystalline Sc2TlIn2 at its relaxed geometry, computed with PBE.

## Properties
energy above the most stable polymorph in this dataset: 43 meV per atom
total moment: 0.00 μB/cell
ΔH_f (0 K): -17.6 kJ per mole of atoms
ρ: 6.93 Mg/m³

Cell lengths 8.331, 8.331, 3.618 Å; angles 90.00, 90.00, 90.00 degrees
Space group P4/mbm (No. 127)
One atom of each set of equivalent atoms:
Sc 0.168 0.332 0.000 x4
Tl 0.000 0.000 0.000 x2
In 0.134 0.634 0.500 x4

Entry 5:
Crystalline TbTm5Tl8 at its relaxed geometry, computed with PBE.

## Properties
total moment: 0.00 μB/cell
ΔH_f (0 K): -18.5 kJ per mole of atoms
ρ: 11.22 Mg/m³

Cell lengths 9.141, 9.141, 9.349 Å; angles 90.00, 90.00, 90.00 degrees
Space group I-4 (No. 82)
One atom of each set of equivalent atoms:
Tb 0.000 0.000 0.000 x2
Tm 0.000 0.500 0.750 x2
Tm 0.129 0.725 0.358 x8
Tl 0.071 0.837 0.688 x8
Tl 0.097 0.670 0.032 x8

Entry 6:
Crystalline CuPtAu2 at its relaxed geometry, computed with PBE.

## Properties
energy above the most stable polymorph in this dataset: 52 meV per atom
total moment: 0.00 μB/cell
ΔH_f (0 K): 0.4 kJ per mole of atoms
ρ: 16.86 Mg/m³

Cell lengths 2.857, 3.882, 5.798 Å; angles 90.00, 90.96, 90.00 degrees
Space group P2/m (No. 10)
One atom of each set of equivalent atoms:
Cu 0.000 0.000 0.000 x1
Pt 0.000 0.000 0.500 x1
Au 0.496 0.500 0.241 x2